Entry 1:
DFT (meta-GGA SCAN) results for a PBEsol-optimized structure of CuPt5.

- Symmetry: P4/mmm, No. 123
- Formation energy from the elements: -23.6 meV/atom
- Density of states at the Fermi level: 8.08 states/eV per cell
- V: 14.414 Å³/atom
- Crystal system: tetragonal

a = 2.7534 Å, b = 2.7534 Å, c = 11.4076 Å
α = 90.00°, β = 90.00°, γ = 90.00°
Positions (direct):
Pt  0.0000  0.0000  0.1545
Pt  0.5000  0.5000  0.6719
Pt  0.5000  0.5000  0.3281
Pt  0.0000  0.0000  0.5000
Pt  0.0000  0.0000  0.8455
Cu  0.5000  0.5000  0.0000



Entry 2:
DFT (meta-GGA SCAN) results for a PBEsol-optimized structure of AgTe2Br.

- Symmetry: P4mm, No. 99
- Formation energy from raw total energies: -2.50 kcal/mol of atoms
- Density of states at the Fermi level: 0.79 states/eV per cell
- V: 32.081 Å³/atom
- Crystal system: tetragonal

a = 3.9755 Å, b = 3.9755 Å, c = 8.1193 Å
α = 90.00°, β = 90.00°, γ = 90.00°
Positions (direct):
Br  0.5000  0.5000  0.6329
Te  0.0000  0.0000  0.0316
Te  0.5000  0.5000  0.1458
Ag  0.0000  0.0000  0.6896



Entry 3:
DFT (meta-GGA SCAN) results for a PBEsol-optimized structure of YNiIr.

- Symmetry: P-6m2, No. 187
- Formation energy from the elements: -670.4 meV/atom
- Density of states at the Fermi level: 1.57 states/eV per cell
- V: 17.921 Å³/atom
- Crystal system: hexagonal

a = 3.7478 Å, b = 4.0699 Å, c = 4.0699 Å
α = 120.00°, β = 90.00°, γ = 90.00°
Positions (direct):
Ni  0.0000  0.3333  0.6667
Y  0.5000  0.6667  0.3333
Ir  0.0000  0.0000  0.0000



Entry 4:
DFT (meta-GGA SCAN) results for a PBEsol-optimized structure of LaCd3B.

- Symmetry: Pm-3m, No. 221
- Formation energy from the elements: 283.2 meV/atom
- Density of states at the Fermi level: 3.82 states/eV per cell
- V: 21.013 Å³/atom
- Crystal system: cubic

a = 4.7187 Å, b = 4.7187 Å, c = 4.7187 Å
α = 90.00°, β = 90.00°, γ = 90.00°
Positions (direct):
B  0.0000  0.0000  0.0000
La  0.5000  0.5000  0.5000
Cd  0.0000  0.0000  0.5000
Cd  0.5000  0.0000  0.0000
Cd  0.0000  0.5000  0.0000



Entry 5:
DFT (meta-GGA SCAN) results for a PBEsol-optimized structure of ScAlNi2.

- Symmetry: Cm, No. 8
- Formation energy from the elements: -489.6 meV/atom
- Density of states at the Fermi level: 2.27 states/eV per cell
- V: 13.568 Å³/atom
- Crystal system: monoclinic

a = 2.8992 Å, b = 4.3183 Å, c = 4.7104 Å
α = 103.98°, β = 107.92°, γ = 90.00°
Positions (direct):
Ni  0.9994  0.9531  0.9987
Ni  0.7426  0.2801  0.4851
Al  0.2647  0.8165  0.5295
Sc  0.4934  0.4503  0.9867



Entry 6:
DFT (meta-GGA SCAN) results for a PBEsol-optimized structure of CsHfS2Cl.

- Symmetry: P4/mmm, No. 123
- Excess energy over the best structure of this formula in the dataset: 0 meV per atom
- Formation energy from raw total energies: -40.44 kcal/mol of atoms
- Density of states at the Fermi level: 0.05 states/eV per cell
- V: 25.234 Å³/atom
- Crystal system: tetragonal

a = 4.9579 Å, b = 4.9579 Å, c = 5.1329 Å
α = 90.00°, β = 90.00°, γ = 90.00°
Positions (direct):
Cs  0.5000  0.5000  0.5000
Hf  0.0000  0.0000  0.0000
S  0.0000  0.5000  0.0000
S  0.5000  0.0000  0.0000
Cl  0.0000  0.0000  0.5000



Entry 7:
DFT (meta-GGA SCAN) results for a PBEsol-optimized structure of Sc2MnTe.

- Symmetry: Amm2, No. 38
- Formation energy from raw total energies: -13.50 kcal/mol of atoms
- Density of states at the Fermi level: 3.51 states/eV per cell
- V: 19.973 Å³/atom
- Crystal system: orthorhombic

a = 3.7242 Å, b = 4.0769 Å, c = 5.5818 Å
α = 90.00°, β = 109.49°, γ = 90.00°
Positions (direct):
Mn  0.6583  0.5000  0.3165
Te  0.8209  0.0000  0.6417
Sc  0.1018  0.0000  0.2037
Sc  0.4011  0.5000  0.8022



Entry 8:
DFT (meta-GGA SCAN) results for a PBEsol-optimized structure of La3In.

- Symmetry: Cmcm, No. 63
- Excess energy over the best structure of this formula in the dataset: 0 meV per atom
- Formation energy from the elements: -416.5 meV/atom
- Density of states at the Fermi level: 9.60 states/eV per cell
- V: 30.674 Å³/atom
- Crystal system: orthorhombic

a = 5.5507 Å, b = 7.1416 Å, c = 7.1416 Å
α = 119.91°, β = 90.00°, γ = 90.00°
Positions (direct):
La  0.7500  0.1768  0.3582
La  0.7500  0.1793  0.8207
La  0.2500  0.8207  0.1793
La  0.7500  0.6418  0.8232
La  0.2500  0.3582  0.1768
La  0.2500  0.8232  0.6418
In  0.2500  0.3342  0.6658
In  0.7500  0.6658  0.3342



Entry 9:
DFT (meta-GGA SCAN) results for a PBEsol-optimized structure of TlSbPb2.

- Symmetry: C2/m, No. 12
- Excess energy over the best structure of this formula in the dataset: 45 meV per atom
- Formation energy from raw total energies: 1.44 kcal/mol of atoms
- Density of states at the Fermi level: 2.10 states/eV per cell
- V: 28.788 Å³/atom
- Crystal system: monoclinic

a = 3.2844 Å, b = 6.6841 Å, c = 6.6841 Å
α = 117.58°, β = 103.94°, γ = 103.94°
Positions (direct):
Sb  0.5000  0.0000  0.0000
Pb  0.0000  0.0000  0.5000
Pb  0.0000  0.5000  0.0000
Tl  0.5000  0.5000  0.5000



Entry 10:
DFT (meta-GGA SCAN) results for a PBEsol-optimized structure of Mn3MoN.

- Symmetry: Pm-3m, No. 221
- Formation energy from raw total energies: -1.09 kcal/mol of atoms
- Density of states at the Fermi level: 3.55 states/eV per cell
- V: 10.344 Å³/atom
- Crystal system: cubic

a = 3.7258 Å, b = 3.7258 Å, c = 3.7258 Å
α = 90.00°, β = 90.00°, γ = 90.00°
Positions (direct):
Mn  0.5000  0.0000  0.0000
Mn  0.0000  0.5000  0.0000
Mn  0.0000  0.0000  0.5000
Mo  0.5000  0.5000  0.5000
N  0.0000  0.0000  0.0000



Entry 11:
DFT (meta-GGA SCAN) results for a PBEsol-optimized structure of Tl2Ag2Cl.

- Symmetry: I4/mmm, No. 139
- Formation energy from raw total energies: -4.62 kcal/mol of atoms
- Density of states at the Fermi level: 0.75 states/eV per cell
- V: 24.467 Å³/atom
- Crystal system: tetragonal

a = 3.8228 Å, b = 3.8228 Å, c = 8.7969 Å
α = 102.55°, β = 102.55°, γ = 90.00°
Positions (direct):
Tl  0.6023  0.6023  0.2046
Tl  0.3977  0.3977  0.7954
Cl  0.0000  0.0000  0.0000
Ag  0.2500  0.7500  0.5000
Ag  0.7500  0.2500  0.5000



Entry 12:
DFT (meta-GGA SCAN) results for a PBEsol-optimized structure of Li3Al.

- Symmetry: Pm-3n, No. 223
- Formation energy from the elements: -26.7 meV/atom
- Density of states at the Fermi level: 3.07 states/eV per cell
- V: 16.952 Å³/atom
- Crystal system: cubic

a = 5.1377 Å, b = 5.1377 Å, c = 5.1377 Å
α = 90.00°, β = 90.00°, γ = 90.00°
Positions (direct):
Li  0.5000  0.0000  0.7500
Li  0.7500  0.5000  0.0000
Li  0.5000  0.0000  0.2500
Li  0.0000  0.2500  0.5000
Li  0.0000  0.7500  0.5000
Li  0.2500  0.5000  0.0000
Al  0.5000  0.5000  0.5000
Al  0.0000  0.0000  0.0000



Entry 13:
DFT (meta-GGA SCAN) results for a PBEsol-optimized structure of LiTi2S2.

- Symmetry: P4/mbm, No. 127
- Formation energy from raw total energies: -26.92 kcal/mol of atoms
- Density of states at the Fermi level: 5.57 states/eV per cell
- V: 13.775 Å³/atom
- Crystal system: tetragonal

a = 3.1671 Å, b = 6.5951 Å, c = 6.5951 Å
α = 90.00°, β = 90.00°, γ = 90.00°
Positions (direct):
S  0.0000  0.1504  0.3496
S  0.0000  0.8496  0.6504
S  0.0000  0.3496  0.8496
S  0.0000  0.6504  0.1504
Ti  0.5000  0.6460  0.8540
Ti  0.5000  0.8540  0.3540
Ti  0.5000  0.1460  0.6460
Ti  0.5000  0.3540  0.1460
Li  0.0000  0.5000  0.5000
Li  0.0000  0.0000  0.0000



Entry 14:
DFT (meta-GGA SCAN) results for a PBEsol-optimized structure of K2TcRu.

- Symmetry: Imm2, No. 44
- Excess energy over the best structure of this formula in the dataset: 262 meV per atom
- Formation energy from the elements: 984.5 meV/atom
- Density of states at the Fermi level: 3.24 states/eV per cell
- V: 28.535 Å³/atom
- Crystal system: orthorhombic

a = 3.7252 Å, b = 5.8463 Å, c = 6.2833 Å
α = 117.72°, β = 107.24°, γ = 90.00°
Positions (direct):
Ru  0.5639  0.5639  0.1279
Tc  0.1807  0.6807  0.3614
K  0.7759  0.2759  0.5517
K  0.9795  0.9795  0.9590



Entry 15:
DFT (meta-GGA SCAN) results for a PBEsol-optimized structure of ScNiSe2Br.

- Symmetry: P4/mmm, No. 123
- Formation energy from raw total energies: -9.24 kcal/mol of atoms
- Density of states at the Fermi level: 1.42 states/eV per cell
- V: 20.434 Å³/atom
- Crystal system: tetragonal

a = 4.6033 Å, b = 4.7112 Å, c = 4.7112 Å
α = 90.00°, β = 90.00°, γ = 90.00°
Positions (direct):
Se  0.0000  0.5000  0.0000
Se  0.0000  0.0000  0.5000
Ni  0.0000  0.0000  0.0000
Sc  0.5000  0.5000  0.5000
Br  0.5000  0.0000  0.0000



Entry 16:
DFT (meta-GGA SCAN) results for a PBEsol-optimized structure of CaScCd4.

- Symmetry: F-43m, No. 216
- Formation energy from the elements: -309.6 meV/atom
- Density of states at the Fermi level: 2.99 states/eV per cell
- V: 22.436 Å³/atom
- Crystal system: cubic

a = 5.7527 Å, b = 5.7527 Å, c = 5.7527 Å
α = 60.00°, β = 60.00°, γ = 60.00°
Positions (direct):
Cd  0.8735  0.3755  0.3755
Cd  0.3755  0.3755  0.8735
Cd  0.3755  0.8735  0.3755
Cd  0.3755  0.3755  0.3755
Sc  0.7500  0.7500  0.7500
Ca  0.0000  0.0000  0.0000



Entry 17:
DFT (meta-GGA SCAN) results for a PBEsol-optimized structure of ZrZn2.

- Symmetry: Immm, No. 71
- Formation energy from the elements: -277.6 meV/atom
- Density of states at the Fermi level: 2.48 states/eV per cell
- V: 16.278 Å³/atom
- Crystal system: orthorhombic

a = 2.8501 Å, b = 5.9159 Å, c = 6.1999 Å
α = 105.23°, β = 90.00°, γ = 103.94°
Positions (direct):
Zr  0.4999  0.9999  0.2499
Zr  0.5001  0.0001  0.7501
Zn  0.8192  0.6385  0.9093
Zn  0.8194  0.6388  0.4097
Zn  0.1806  0.3612  0.5903
Zn  0.1808  0.3615  0.0907



Entry 18:
DFT (meta-GGA SCAN) results for a PBEsol-optimized structure of ZnCdCu2.

- Symmetry: I-4m2, No. 119
- Formation energy from the elements: 46.4 meV/atom
- Density of states at the Fermi level: 0.99 states/eV per cell
- V: 13.916 Å³/atom
- Crystal system: tetragonal

a = 3.7696 Å, b = 3.7696 Å, c = 4.7381 Å
α = 113.44°, β = 113.44°, γ = 90.00°
Positions (direct):
Zn  0.5000  0.5000  0.0000
Cu  0.7500  0.2500  0.5000
Cu  0.0000  0.0000  0.0000
Cd  0.2500  0.7500  0.5000



Entry 19:
DFT (meta-GGA SCAN) results for a PBEsol-optimized structure of Dy2CN2O2.

- Symmetry: P-3m1, No. 164
- Formation energy from raw total energies: -56.35 kcal/mol of atoms
- Density of states at the Fermi level: 0.00 states/eV per cell
- V: 13.635 Å³/atom
- Crystal system: trigonal

a = 3.6867 Å, b = 3.6867 Å, c = 8.1085 Å
α = 90.00°, β = 90.00°, γ = 120.00°
Positions (direct):
N  0.0000  0.0000  0.3478
N  0.0000  0.0000  0.6522
C  0.0000  0.0000  0.5000
Dy  0.6667  0.3333  0.8232
Dy  0.3333  0.6667  0.1768
O  0.6667  0.3333  0.1023
O  0.3333  0.6667  0.8977



Entry 20:
DFT (meta-GGA SCAN) results for a PBEsol-optimized structure of TaBeIN2.

- Symmetry: P4/mmm, No. 123
- Formation energy from raw total energies: 13.99 kcal/mol of atoms
- Density of states at the Fermi level: 1.93 states/eV per cell
- V: 18.079 Å³/atom
- Crystal system: tetragonal

a = 3.9606 Å, b = 3.9606 Å, c = 5.7626 Å
α = 90.00°, β = 90.00°, γ = 90.00°
Positions (direct):
N  0.5000  0.0000  0.0000
N  0.0000  0.5000  0.0000
I  0.0000  0.0000  0.5000
Be  0.5000  0.5000  0.5000
Ta  0.0000  0.0000  0.0000



Entry 21:
DFT (meta-GGA SCAN) results for a PBEsol-optimized structure of SiNiIO2.

- Symmetry: P4/mmm, No. 123
- Formation energy from raw total energies: -19.47 kcal/mol of atoms
- Density of states at the Fermi level: 2.13 states/eV per cell
- V: 14.597 Å³/atom
- Crystal system: tetragonal

a = 3.4271 Å, b = 3.4271 Å, c = 6.2141 Å
α = 90.00°, β = 90.00°, γ = 90.00°
Positions (direct):
Ni  0.5000  0.5000  0.5000
Si  0.0000  0.0000  0.0000
O  0.0000  0.5000  0.0000
O  0.5000  0.0000  0.0000
I  0.0000  0.0000  0.5000



Entry 22:
DFT (meta-GGA SCAN) results for a PBEsol-optimized structure of Sc2Si4W3.

- Symmetry: Pnma, No. 62
- Formation energy from raw total energies: -12.79 kcal/mol of atoms
- Density of states at the Fermi level: 12.42 states/eV per cell
- V: 15.268 Å³/atom
- Crystal system: orthorhombic

a = 6.5072 Å, b = 6.7224 Å, c = 12.5648 Å
α = 90.00°, β = 90.00°, γ = 90.00°
Positions (direct):
W  0.3380  0.9986  0.2500
W  0.8298  0.6633  0.6243
W  0.3298  0.8367  0.8757
W  0.8380  0.5014  0.2500
W  0.6702  0.1633  0.1243
W  0.1702  0.3367  0.1243
W  0.1702  0.3367  0.3757
W  0.1620  0.4986  0.7500
W  0.6620  0.0014  0.7500
W  0.6702  0.1633  0.3757
W  0.3298  0.8367  0.6243
W  0.8298  0.6633  0.8757
Sc  0.9953  0.8299  0.0912
Sc  0.5047  0.3299  0.9088
Sc  0.5047  0.3299  0.5912
Sc  0.4953  0.6701  0.4088
Sc  0.9953  0.8299  0.4088
Sc  0.0047  0.1701  0.5912
Sc  0.4953  0.6701  0.0912
Sc  0.0047  0.1701  0.9088
Si  0.9682  0.1184  0.2500
Si  0.8326  0.4616  0.0439
Si  0.0318  0.8816  0.7500
Si  0.4682  0.3816  0.2500
Si  0.7983  0.3552  0.7500
Si  0.6674  0.9616  0.5439
Si  0.1674  0.5384  0.9561
Si  0.3326  0.0384  0.0439
Si  0.3326  0.0384  0.4561
Si  0.5318  0.6184  0.7500
Si  0.2017  0.6448  0.2500
Si  0.8326  0.4616  0.4561
Si  0.7017  0.8552  0.2500
Si  0.1674  0.5384  0.5439
Si  0.6674  0.9616  0.9561
Si  0.2983  0.1448  0.7500



Entry 23:
DFT (meta-GGA SCAN) results for a PBEsol-optimized structure of BeGaSi2.

- Symmetry: Fm-3m, No. 225
- Formation energy from raw total energies: 14.58 kcal/mol of atoms
- Density of states at the Fermi level: 1.20 states/eV per cell
- V: 14.069 Å³/atom
- Crystal system: cubic

a = 4.3014 Å, b = 4.3014 Å, c = 4.3014 Å
α = 60.00°, β = 60.00°, γ = 60.00°
Positions (direct):
Si  0.2500  0.2500  0.2500
Si  0.7500  0.7500  0.7500
Be  0.0000  0.0000  0.0000
Ga  0.5000  0.5000  0.5000



Entry 24:
DFT (meta-GGA SCAN) results for a PBEsol-optimized structure of CsTlBr2.

- Symmetry: Fm-3m, No. 225
- Formation energy from raw total energies: -32.61 kcal/mol of atoms
- Density of states at the Fermi level: 0.00 states/eV per cell
- V: 33.626 Å³/atom
- Crystal system: cubic

a = 5.7511 Å, b = 5.7511 Å, c = 5.7511 Å
α = 60.00°, β = 60.00°, γ = 60.00°
Positions (direct):
Tl  0.5000  0.5000  0.5000
Br  0.7500  0.7500  0.7500
Br  0.2500  0.2500  0.2500
Cs  0.0000  0.0000  0.0000



Entry 25:
DFT (meta-GGA SCAN) results for a PBEsol-optimized structure of KSr2Co.

- Symmetry: P4/mmm, No. 123
- Excess energy over the best structure of this formula in the dataset: 139 meV per atom
- Formation energy from the elements: 589.5 meV/atom
- Density of states at the Fermi level: 3.36 states/eV per cell
- V: 34.810 Å³/atom
- Crystal system: tetragonal

a = 4.6437 Å, b = 5.4758 Å, c = 5.4758 Å
α = 90.00°, β = 90.00°, γ = 90.00°
Positions (direct):
Co  0.5000  0.5000  0.5000
Sr  0.0000  0.5000  0.0000
Sr  0.0000  0.0000  0.5000
K  0.5000  0.0000  0.0000



Entry 26:
DFT (meta-GGA SCAN) results for a PBEsol-optimized structure of TlCuIr.

- Symmetry: I4mm, No. 107
- Formation energy from the elements: 510.8 meV/atom
- Density of states at the Fermi level: 1.24 states/eV per cell
- V: 15.703 Å³/atom
- Crystal system: tetragonal

a = 3.1626 Å, b = 3.1626 Å, c = 5.2139 Å
α = 107.66°, β = 107.66°, γ = 90.00°
Positions (direct):
Cu  0.0112  0.0112  0.0223
Ir  0.6515  0.6515  0.3031
Tl  0.3373  0.3373  0.6746



Entry 27:
DFT (meta-GGA SCAN) results for a PBEsol-optimized structure of BaAlF2.

- Symmetry: Fm-3m, No. 225
- Formation energy from raw total energies: -44.36 kcal/mol of atoms
- Density of states at the Fermi level: 2.17 states/eV per cell
- V: 19.004 Å³/atom
- Crystal system: cubic

a = 4.7549 Å, b = 4.7549 Å, c = 4.7549 Å
α = 60.00°, β = 60.00°, γ = 60.00°
Positions (direct):
Ba  0.5000  0.5000  0.5000
Al  0.0000  0.0000  0.0000
F  0.2500  0.2500  0.2500
F  0.7500  0.7500  0.7500